(1)
This record from Alexandria describes a geometry-optimized KZnSn2 structure. The functional is GGA-PBE.

Computed properties:
- Energy relative to the elements: -62 meV/atom
- DOS(E_F): 0.618 states/eV/atom

Unit cell a=3.7125 b=3.7125 c=8.0456 alpha=90.00 beta=90.00 gamma=90.00
Last column: nearest neighbours and their distance in Å.
Fractional positions:
K 0.5000 0.5000 0.5000  8 Sn 3.65, 4 K 3.71, 2 Zn 4.02
Zn 0.5000 0.5000 0.0000  8 Sn 3.02
Sn 0.0000 0.0000 0.8151  1 Sn 2.98, 4 Zn 3.02
Sn 0.0000 0.0000 0.1849  1 Sn 2.98, 4 Zn 3.02

(2)
This record from Alexandria describes a geometry-optimized K3Zn3Sn8 structure. The functional is GGA-PBE.

Computed properties:
- Energy relative to the elements: -103 meV/atom
- DOS(E_F): 0.270 states/eV/atom

Unit cell a=4.7936 b=9.4567 c=9.4567 alpha=78.61 beta=75.32 gamma=75.32
Last column: nearest neighbours and their distance in Å.
Fractional positions:
K 0.5000 0.5000 0.5000  8 Sn 3.56, 2 K 3.59
K 0.7599 0.2401 0.2401  8 Sn 3.50-3.74, 2 Zn 3.59, 1 K 3.59
K 0.2401 0.7599 0.7599  8 Sn 3.50-3.74, 2 Zn 3.59, 1 K 3.59
Zn 0.5000 0.0000 0.0000  4 Zn 2.76, 4 Sn 2.95
Zn 0.0000 0.8862 0.1138  3 Zn 2.73-2.76, 2 Sn 3.02
Zn 0.0000 0.1138 0.8862  3 Zn 2.73-2.76, 2 Sn 3.02
Sn 0.6444 0.0374 0.6739  3 Zn 2.95-3.22, 3 Sn 2.98-3.31
Sn 0.3556 0.9626 0.3261  3 Zn 2.95-3.22, 3 Sn 2.98-3.31
Sn 0.6444 0.6739 0.0374  3 Zn 2.95-3.22, 3 Sn 2.98-3.31
Sn 0.3556 0.3261 0.9626  3 Zn 2.95-3.22, 3 Sn 2.98-3.31
Sn 0.8833 0.7902 0.4432  4 Sn 2.98-3.31, 1 Zn 3.02
Sn 0.1167 0.2098 0.5568  4 Sn 2.98-3.31, 1 Zn 3.02
Sn 0.8833 0.4432 0.7902  4 Sn 2.98-3.31, 1 Zn 3.02
Sn 0.1167 0.5568 0.2098  4 Sn 2.98-3.31, 1 Zn 3.02

(3)
This record from Alexandria describes a geometry-optimized K2ZnSn2 structure. The functional is GGA-PBE.

Computed properties:
- Energy relative to the elements: 315 meV/atom
- DOS(E_F): 0.257 states/eV/atom

Unit cell a=4.7183 b=4.7183 c=8.4655 alpha=73.82 beta=73.82 gamma=90.00
Last column: nearest neighbours and their distance in Å.
Fractional positions:
K 0.7500 0.2500 0.5000  4 K 3.34, 4 Sn 3.47
K 0.2500 0.7500 0.5000  4 K 3.34, 4 Sn 3.47
Zn 0.0000 0.0000 0.0000  8 Sn 3.60
Sn 0.4138 0.4138 0.1724  1 Sn 2.68
Sn 0.5862 0.5862 0.8276  1 Sn 2.68